The following is a PBE calculation of a relaxed CaAgSnCl6 crystal, from Alexandria.

It has space group P312 (No. 149), with a = 6.7575 Å, b = 6.7575 Å, c = 6.1487 Å, α = 90.00°, β = 90.00° and γ = 120.00°. The inequivalent atoms are Ca at (0.0000, 0.0000, 0.0000), Ag at (0.3333, 0.6667, 0.0000), Sn at (0.6667, 0.3333, 0.5000) and Cl at (0.3424, 0.0015, 0.2506).

For the uncorrected formation energy, the calculation gives -1.2517 eV/atom.